(1)
Below is a PBEsol-optimized structure of TlTeRu2, with properties calculated at the SCAN level.

Cell and atoms, written as POSCAR:
```
TlTeRu2
1.0
-1.553 -1.046 -2.620
1.693 -3.568 0.421
-4.509 0.593 4.415
Ru Tl Te
2 1 1
Direct
0.032 0.032 0.064 Ru
0.793 0.293 0.586 Ru
0.211 0.711 0.423 Tl
0.464 0.464 0.927 Te
```

Crystal system: orthorhombic
Magnetic moment: 0.00 μB per atom
Space group: Imm2, No. 44
Raw formation energy: 1.73 eV per formula unit
Calculated volume: 18.55 Å³ per atom

***

(2)
Below is a PBEsol-optimized structure of Rb2LiNbF6, with properties calculated at the SCAN level.

Cell and atoms, written as POSCAR:
```
Rb2LiNbF6
1.0
5.909 0.000 0.000
2.955 5.118 0.000
2.955 1.706 4.825
F Li Rb Nb
6 1 2 1
Direct
0.749 0.251 0.749 F
0.749 0.749 0.251 F
0.749 0.251 0.251 F
0.251 0.251 0.749 F
0.251 0.749 0.251 F
0.251 0.749 0.749 F
0.500 0.500 0.500 Li
0.750 0.750 0.750 Rb
0.250 0.250 0.250 Rb
0.000 0.000 0.000 Nb
```

Crystal system: cubic
Magnetic moment: 0.20 μB per atom
Space group: Fm-3m, No. 225
Raw formation energy: -29.93 eV per formula unit
Calculated volume: 14.59 Å³ per atom

***

(3)
Below is a PBEsol-optimized structure of ZrSc, with properties calculated at the SCAN level.

Cell and atoms, written as POSCAR:
```
ZrSc
1.0
-2.417 0.970 1.775
3.880 -1.733 3.432
1.641 5.248 -0.633
Zr Sc
2 2
Direct
0.376 0.751 0.116 Zr
0.624 0.249 0.884 Zr
0.877 0.753 0.627 Sc
0.123 0.247 0.373 Sc
```

Crystal system: monoclinic
Magnetic moment: 0.00 μB per atom
Space group: C2/m, No. 12
ΔH_f (0 K): 0.06 eV per atom
Calculated volume: 22.48 Å³ per atom

***

no.,DOS(E_F) (states/eV per atom)
1,0.77
2,1.09
3,1.46